ErPu3Tl4Se8 | the Alexandria database | PBE-GGA | relaxed; DOS(E_F) = 32.9 states/eV/cell
1.0
4.224 2.439 7.713
-4.224 2.439 7.713
0.000 -4.877 7.713
Er Pu Tl Se
1 3 4 8
Direct
0.000 0.000 0.000
0.000 0.500 0.500
0.500 0.000 0.500
0.500 0.500 0.000
0.000 0.000 0.500
0.000 0.500 0.000
0.500 0.000 0.000
0.500 0.500 0.500
0.232 0.232 0.739
0.232 0.739 0.232
0.261 0.768 0.768
0.266 0.266 0.266
0.734 0.734 0.734
0.739 0.232 0.232
0.768 0.261 0.768
0.768 0.768 0.261

ErPu2Tl3Se6 | the Alexandria database | PBE-GGA | relaxed; DOS(E_F) = 21.8 states/eV/cell
1.0
3.649 -6.319 0.000
3.649 6.319 0.000
-2.429 0.000 7.731
Er Pu Tl Se
1 2 3 6
Direct
0.000 0.000 0.000
0.334 0.666 0.000
0.666 0.334 0.000
0.168 0.832 0.500
0.500 0.500 0.500
0.832 0.168 0.500
0.068 0.397 0.203
0.261 0.261 0.796
0.397 0.068 0.203
0.603 0.932 0.797
0.739 0.739 0.204
0.932 0.603 0.797

ErTm2Pu3Se6 | the Alexandria database | PBE-GGA | relaxed; DOS(E_F) = 25.3 states/eV/cell
1.0
8.946 -2.026 0.000
8.946 2.026 0.000
-2.060 0.000 7.965
Er Tm Pu Se
1 2 3 6
Direct
0.000 0.000 0.000
0.333 0.333 0.667
0.667 0.667 0.333
0.000 0.000 0.500
0.334 0.334 0.167
0.666 0.666 0.833
0.165 0.165 0.090
0.169 0.169 0.577
0.497 0.497 0.755
0.503 0.503 0.245
0.831 0.831 0.423
0.835 0.835 0.910

ErTm3Pu2Se6 | the Alexandria database | PBE-GGA | relaxed; DOS(E_F) = 17.7 states/eV/cell
1.0
8.865 -2.020 0.000
8.865 2.020 0.000
-1.936 0.000 7.932
Er Tm Pu Se
1 3 2 6
Direct
0.000 0.000 0.000
0.000 0.000 0.500
0.332 0.332 0.167
0.668 0.668 0.833
0.334 0.334 0.667
0.666 0.666 0.333
0.165 0.165 0.589
0.166 0.166 0.075
0.496 0.496 0.249
0.504 0.504 0.751
0.834 0.834 0.925
0.835 0.835 0.411

ErTmPu2Se5 | the Alexandria database | PBE-GGA | relaxed; DOS(E_F) = 31.5 states/eV/cell
1.0
5.089 0.000 0.000
0.000 5.089 0.000
0.000 0.000 10.672
Er Tm Pu Se
1 1 2 5
Direct
0.000 0.000 0.000
0.000 0.000 0.500
0.500 0.500 0.306
0.500 0.500 0.694
0.000 0.000 0.244
0.000 0.000 0.756
0.000 0.500 0.500
0.500 0.000 0.500
0.500 0.500 0.000

ErTmPu2Se4 | the Alexandria database | PBE-GGA | relaxed; DOS(E_F) = 17.0 states/eV/cell
1.0
7.021 0.000 0.000
0.000 4.058 0.000
-2.346 0.000 6.768
Er Tm Pu Se
1 1 2 4
Direct
0.000 0.000 0.000
0.500 0.500 0.000
0.000 0.500 0.500
0.500 0.000 0.500
0.248 0.500 0.240
0.254 0.000 0.760
0.746 0.000 0.240
0.752 0.500 0.760

Er2Pu3USe6 | the Alexandria database | PBE-GGA | relaxed; DOS(E_F) = 30.2 states/eV/cell
1.0
8.900 -2.028 0.000
8.900 2.028 0.000
-1.814 0.000 8.045
Er Pu U Se
2 3 1 6
Direct
0.166 0.166 0.337
0.834 0.834 0.663
0.165 0.165 0.837
0.500 0.500 0.500
0.835 0.835 0.163
0.500 0.500 0.000
0.003 0.003 0.251
0.330 0.330 0.419
0.333 0.333 0.908
0.667 0.667 0.092
0.670 0.670 0.581
0.997 0.997 0.749

YEr2PuSe4 | the Alexandria database | PBE-GGA | relaxed; DOS(E_F) = 8.7 states/eV/cell
1.0
7.063 0.000 0.000
0.000 4.056 0.000
-2.316 0.000 6.681
Y Er Pu Se
1 2 1 4
Direct
0.000 0.000 0.000
0.000 0.500 0.500
0.500 0.000 0.500
0.500 0.500 0.000
0.246 0.000 0.743
0.250 0.500 0.256
0.750 0.500 0.744
0.754 0.000 0.257

Y3Er4PuSe8 | the Alexandria database | PBE-GGA | relaxed; DOS(E_F) = 13.1 states/eV/cell
1.0
4.068 2.348 6.647
-4.068 2.348 6.647
0.000 -4.697 6.647
Y Er Pu Se
3 4 1 8
Direct
0.000 0.500 0.500
0.500 0.000 0.500
0.500 0.500 0.000
0.000 0.000 0.500
0.000 0.500 0.000
0.500 0.000 0.000
0.500 0.500 0.500
0.000 0.000 0.000
0.248 0.248 0.248
0.250 0.747 0.747
0.253 0.253 0.750
0.253 0.750 0.253
0.747 0.250 0.747
0.747 0.747 0.250
0.750 0.253 0.253
0.752 0.752 0.752

YErPu2Se5 | the Alexandria database | PBE-GGA | relaxed; DOS(E_F) = 31.0 states/eV/cell
1.0
5.109 0.000 0.000
0.000 5.109 0.000
0.000 0.000 10.729
Y Er Pu Se
1 1 2 5
Direct
0.000 0.000 0.000
0.000 0.000 0.500
0.500 0.500 0.307
0.500 0.500 0.693
0.000 0.000 0.245
0.000 0.000 0.755
0.000 0.500 0.500
0.500 0.000 0.500
0.500 0.500 0.000

YEr3Pu3Se8 | the Alexandria database | PBE-GGA | relaxed; DOS(E_F) = 24.6 states/eV/cell
1.0
4.966 -5.060 0.000
4.966 5.060 0.000
-0.017 0.000 7.134
Y Er Pu Se
1 3 3 8
Direct
0.000 0.000 0.000
0.000 0.500 0.000
0.500 0.000 0.000
0.500 0.500 0.000
0.000 0.000 0.500
0.000 0.500 0.500
0.500 0.000 0.500
0.246 0.754 0.238
0.246 0.754 0.762
0.249 0.249 0.239
0.249 0.249 0.761
0.751 0.751 0.239
0.751 0.751 0.761
0.754 0.246 0.238
0.754 0.246 0.762

YErPu2Se4 | the Alexandria database | PBE-GGA | relaxed; DOS(E_F) = 17.6 states/eV/cell
1.0
7.066 0.000 0.000
0.000 4.082 0.000
-2.360 0.000 6.770
Y Er Pu Se
1 1 2 4
Direct
0.000 0.000 0.000
0.500 0.500 0.000
0.000 0.500 0.500
0.500 0.000 0.500
0.250 0.500 0.244
0.254 0.000 0.758
0.746 0.000 0.242
0.750 0.500 0.756

For each record above, in turn, the calculated E_tot values are -0.4761, -0.4625, -0.5945, -0.5352, -0.5361, -0.5949, -0.6273, -0.5277, -0.4928, -0.5530, -0.5498, -0.6148 Ry per atom.
For each record above, in turn, the calculated energy relative to the elements, uncorrected values are -1808.0, -1377.8, -1895.8, -1914.2, -1015.4, -1265.0, -1746.5, -1309.7, -2646.6, -1023.5, -2043.8, -1282.7 kJ/mol of formula units.